Entry 1:
Crystalline HoErPd3 at its relaxed geometry, computed with PBE-GGA.

Lattice parameters (Å, degrees): 8.3818 5.4589 9.2657 90.00 106.21 90.00
Closest atoms and distances in Å follow each position.
Space group P2_1/c (No. 14)
Unique sites:
Ho 0.2334 0.2457 0.0582  5 Pd 2.81-3.02
Er 0.3228 0.7340 0.8311  8 Pd 2.84-3.05
Pd 0.0063 0.0046 0.7528  6 Pd 2.73-2.85, 2 Er 2.93-2.94
Pd 0.1157 0.7456 0.0290  3 Ho 2.81-2.89, 4 Pd 2.84-2.85, 2 Er 2.85-2.86
Pd 0.4740 0.2212 0.8686  4 Er 2.84-3.05, 2 Ho 3.02

Results
**Mass density**: 10.6 g/cm³
**Total moment**: 0.00 μB/cell
**N(E_F)**: 0.5795 states/eV/atom
**DFT formation energy**: -0.87 eV/atom

Entry 2:
Crystalline SbTe2PtN at its relaxed geometry, computed with PBE-GGA.

Lattice parameters (Å, degrees): 5.7194 5.7194 3.7999 90.00 90.00 90.00
Closest atoms and distances in Å follow each position.
Space group P4/mmm (No. 123)
Unique sites:
Sb 0.0000 0.0000 0.0000  2 N 1.90
Te 0.0000 0.5000 0.0000  2 Sb 2.86
Pt 0.5000 0.5000 0.5000  8 Te 3.43, 2 Pt 3.80
N 0.0000 0.0000 0.5000  2 Sb 1.90

Results
**ΔE_f (raw)**: 1.1567 eV/atom
**Mass density**: 7.8 g/cm³
**Total moment**: 0.00 μB/cell
**N(E_F)**: 0.5556 states/eV/atom
**Offset from the most stable computed form**: 725.0 meV/atom

> Among the records above, which one has the highest mass density?

HoErPd3

> Look up the N(E_F) of the first one.

0.5795 states/eV/atom

> Among the records above, which one has the highest N(E_F)?

HoErPd3